No. 1
TbCe4Nd3S8: optimized geometry, PBE.

Lattice parameters (Å, degrees): 8.060 8.064 8.061 120.00 120.00 90.00
Sites, in units of the cell vectors:
Tb  0.000  0.500  0.000
Ce  0.500  0.000  0.000
Ce  0.500  0.000  0.500
Ce  0.000  0.000  0.000
Ce  0.000  0.000  0.500
Nd  0.500  0.500  0.000
Nd  0.500  0.500  0.500
Nd  0.000  0.500  0.500
S  0.247  0.749  0.002
S  0.246  0.749  0.493
S  0.249  0.247  0.498
S  0.756  0.749  0.002
S  0.244  0.251  0.998
S  0.751  0.753  0.502
S  0.754  0.251  0.507
S  0.753  0.251  0.998

No. 2
Tb4Ce3NdS8: optimized geometry, PBE.

Lattice parameters (Å, degrees): 7.940 7.986 7.939 119.81 120.00 90.00
Sites, in units of the cell vectors:
Tb  0.500  0.000  0.000
Tb  0.500  0.000  0.500
Tb  0.000  0.000  0.000
Tb  0.000  0.000  0.500
Ce  0.500  0.500  0.000
Ce  0.500  0.500  0.500
Ce  0.000  0.500  0.500
Nd  0.000  0.500  0.000
S  0.254  0.760  0.006
S  0.254  0.760  0.508
S  0.247  0.240  0.494
S  0.752  0.760  0.006
S  0.248  0.240  0.994
S  0.753  0.760  0.506
S  0.746  0.240  0.492
S  0.746  0.240  0.994

No. 3
CeNdTe2S: optimized geometry, PBE.

Lattice parameters (Å, degrees): 4.565 4.565 15.845 90.00 90.00 90.00
Sites, in units of the cell vectors:
Ce  0.500  0.000  0.113
Ce  0.000  0.500  0.887
Nd  0.500  0.000  0.598
Nd  0.000  0.500  0.402
Te  0.000  0.500  0.700
Te  0.000  0.500  0.095
Te  0.500  0.000  0.905
Te  0.500  0.000  0.300
S  0.000  0.000  0.500
S  0.500  0.500  0.500

no.,M_tot (μB/cell),E (eV/cell)
1,3.0,-108.26
2,2.1,-106.65
3,1.8,-56.95